[1]
A relaxed Li3Sm2Au3 crystal, computed with GGA-PBE.

E	-58.2	eV per cell
E_form	-49.6	kJ per mole of atoms

The structure in POSCAR format:
```
Li3Sm2Au3
1.0
7.856 0.000 0.000
-3.928 6.803 0.000
0.000 0.000 7.249
Li Sm Au
6 4 6
Direct
0.000 0.240 0.250 Li
0.000 0.760 0.750 Li
0.240 0.000 0.250 Li
0.240 0.240 0.750 Li
0.760 0.000 0.750 Li
0.760 0.760 0.250 Li
0.333 0.667 0.000 Sm
0.333 0.667 0.500 Sm
0.667 0.333 0.000 Sm
0.667 0.333 0.500 Sm
0.000 0.392 0.750 Au
0.000 0.608 0.250 Au
0.392 0.000 0.750 Au
0.392 0.392 0.250 Au
0.608 0.000 0.250 Au
0.608 0.608 0.750 Au
```

=====

[2]
A relaxed Li4Sm3Au4 crystal, computed with GGA-PBE.

E	-41.1	eV per cell
E_form	-54.0	kJ per mole of atoms

The structure in POSCAR format:
```
Li4Sm3Au4
1.0
3.793 0.000 0.000
0.002 4.314 0.000
1.881 2.103 14.372
Li Sm Au
4 3 4
Direct
0.095 0.094 0.311 Li
0.248 0.747 0.004 Li
0.752 0.253 0.996 Li
0.905 0.906 0.689 Li
0.356 0.357 0.787 Sm
0.500 0.000 0.500 Sm
0.644 0.643 0.213 Sm
0.051 0.551 0.399 Au
0.185 0.184 0.130 Au
0.815 0.816 0.870 Au
0.949 0.449 0.601 Au
```

=====

[3]
A relaxed LiSmAu3 crystal, computed with GGA-PBE.

E	-38.4	eV per cell
E_form	-53.0	kJ per mole of atoms

The structure in POSCAR format:
```
LiSmAu3
1.0
5.166 0.000 0.000
0.000 6.110 0.000
-2.104 0.000 6.479
Li Sm Au
2 2 6
Direct
0.005 0.250 0.456 Li
0.995 0.750 0.544 Li
0.388 0.750 0.270 Sm
0.612 0.250 0.730 Sm
0.162 0.010 0.850 Au
0.162 0.490 0.850 Au
0.411 0.250 0.263 Au
0.589 0.750 0.737 Au
0.838 0.510 0.150 Au
0.838 0.990 0.150 Au
```